Entry 1:
# LaMgAlNi

An optimized crystal structure of LaMgAlNi (PBE, OQMD).

- Excess energy over the best structure of this formula in the dataset: 0.005 eV/atom
- Crystal system: orthorhombic
- Symmetry: Amm2 (38)

Cell: 7.634 5.449 5.449 Å, 46.51 90.00 90.00°
Atoms (fractional coordinates):
Al (0.309, 0.839, 0.839)
Al (0.691, 0.839, 0.839)
La (0.000, 0.439, 0.439)
La (0.500, 0.551, 0.551)
Mg (0.198, 0.155, 0.155)
Mg (0.802, 0.155, 0.155)
Ni (0.500, 0.291, 0.291)
Ni (0.000, 0.730, 0.730)


Entry 2:
# GeIrPd

An optimized crystal structure of GeIrPd (PBE, OQMD).

- Crystal system: cubic
- Calculated total energy: -6.487 eV per atom
- Symmetry: F-43m (216)

Cell: 4.111 4.111 4.111 Å, 60.00 60.00 60.00°
Atoms (fractional coordinates):
Ge (0.000, 0.000, 0.000)
Ir (0.250, 0.250, 0.250)
Pd (0.750, 0.750, 0.750)


Entry 3:
# UCuMo

An optimized crystal structure of UCuMo (PBE, OQMD).

- Excess energy over the best structure of this formula in the dataset: 0.000 eV/atom
- Crystal system: cubic
- Symmetry: F-43m (216)
- Energy of formation: 0.785 eV/atom

Cell: 4.346 4.346 4.346 Å, 60.00 60.00 60.00°
Each line ends with the local moment (μB).
Atoms (fractional coordinates):
Cu (0.500, 0.500, 0.500)  0.01
Mo (0.250, 0.250, 0.250)  -0.10
U (0.000, 0.000, 0.000)  1.02


Entry 4:
# PuReMo

An optimized crystal structure of PuReMo (PBE, OQMD).

- Crystal system: cubic
- Symmetry: F-43m (216)
- Energy of formation: 0.661 eV/atom

Cell: 4.340 4.340 4.340 Å, 60.00 60.00 60.00°
Atoms (fractional coordinates):
Mo (0.000, 0.000, 0.000)
Pu (0.250, 0.250, 0.250)
Re (0.750, 0.750, 0.750)